La5BiPd2 PBE relaxed; magnetic moment = 0.004 μB per cell; space group = I4/mcm, No. 140; E = -5.53 eV per atom; energy of formation = -5.31 eV/f.u.
1.0
-4.162 4.162 7.031
4.162 -4.162 7.031
4.162 4.162 -7.031
La Bi Pd
10 2 4
Direct
0.000 0.000 0.000
0.015 0.515 0.810
0.205 0.015 0.500
0.295 0.795 0.810
0.485 0.295 0.500
0.500 0.500 0.000
0.515 0.705 0.500
0.705 0.205 0.190
0.795 0.985 0.500
0.985 0.485 0.190
0.250 0.250 0.000
0.750 0.750 0.000
0.137 0.363 0.500
0.363 0.863 0.227
0.637 0.137 0.773
0.863 0.637 0.500